# 1
Material: PrHoAu4
Method: DFT, PBE
State: relaxed

The structure in extended XYZ format:
```
6
Lattice="3.809 0.000 0.000 1.889 4.944 0.000 1.890 2.089 7.114" Properties=species:S:1:pos:R:3 pbc="T T T"
Pr 0.000 0.000 0.000
Ho 1.889 3.516 3.557
Au 3.791 5.618 2.435
Au 3.795 4.218 5.793
Au 3.792 2.815 1.321
Au 3.797 1.415 4.680
```

Computed properties:
ΔE to the lowest computed polymorph ... 0.000 eV per atom
ΔH_f (0 K) ... -465.6 kJ/mol of formula units

# 2
Material: PrHo5Au6
Method: DFT, PBE
State: relaxed

The structure in extended XYZ format:
```
12
Lattice="5.114 0.000 0.000 0.000 7.176 0.000 -2.538 0.000 7.715" Properties=species:S:1:pos:R:3 pbc="T T T"
Pr 0.000 0.000 0.000
Ho 0.000 3.588 0.000
Ho 0.011 0.000 5.126
Ho 0.011 3.588 5.159
Ho 2.565 3.588 2.555
Ho 2.565 0.000 2.589
Au 0.010 1.825 2.660
Au 0.010 5.351 2.660
Au 2.557 1.904 0.000
Au 2.557 5.272 0.000
Au 2.566 1.825 5.055
Au 2.566 5.351 5.055
```

Computed properties:
ΔH_f (0 K) ... -979.7 kJ/mol of formula units

# 3
Material: PrHo2Au4
Method: DFT, PBE
State: relaxed

The structure in extended XYZ format:
```
7
Lattice="5.092 0.000 0.000 0.000 5.092 0.000 0.000 0.000 6.899" Properties=species:S:1:pos:R:3 pbc="T T T"
Pr 0.000 0.000 0.000
Ho 0.000 0.000 3.450
Ho 2.546 2.546 0.000
Au 0.000 2.546 1.793
Au 0.000 2.546 5.106
Au 2.546 0.000 1.793
Au 2.546 0.000 5.106
```

Computed properties:
ΔH_f (0 K) ... -408.8 kJ/mol of formula units